LiCa2MgPt: optimized geometry, GGA-PBE.

Output
Energy above the lowest structure with this stoichiometry   1.79 kcal/mol of atoms
DOS at the Fermi energy   2.36 states/eV/f.u.
Calculated formation energy   -0.306 eV per atom

```
data_LiCa2MgPt
_cell_length_a 5.540
_cell_length_b 5.540
_cell_length_c 4.888
_cell_angle_alpha 90.00
_cell_angle_beta 90.00
_cell_angle_gamma 90.00
_symmetry_space_group_name_H-M 'P 4/m m m'
_symmetry_Int_Tables_number 123
_symmetry_space_group_name_Hall '-P 4 2'
loop_
_atom_site_label
_atom_site_type_symbol
_atom_site_fract_x
_atom_site_fract_y
_atom_site_fract_z
Li1 Li 0.000 0.000 0.000
Ca1 Ca 0.000 0.500 0.500
Mg1 Mg 0.500 0.500 0.000
Pt1 Pt 0.000 0.000 0.500
```

---

LiCaMgRh: optimized geometry, GGA-PBE.

Output
Energy above the lowest structure with this stoichiometry   0.00 kcal/mol of atoms
DOS at the Fermi energy   2.01 states/eV/f.u.
Calculated formation energy   -0.272 eV per atom

```
data_LiCaMgRh
_cell_length_a 6.777
_cell_length_b 6.777
_cell_length_c 6.777
_cell_angle_alpha 90.00
_cell_angle_beta 90.00
_cell_angle_gamma 90.00
_symmetry_space_group_name_H-M 'F -4 3 m'
_symmetry_Int_Tables_number 216
_symmetry_space_group_name_Hall 'F -4 2 3'
loop_
_atom_site_label
_atom_site_type_symbol
_atom_site_fract_x
_atom_site_fract_y
_atom_site_fract_z
Li1 Li 0.000 0.000 0.000
Ca1 Ca 0.250 0.250 0.750
Mg1 Mg 0.250 0.250 0.250
Rh1 Rh 0.000 0.000 0.500
```

---

LiCaMgRh: optimized geometry, GGA-PBE.

Output
Energy above the lowest structure with this stoichiometry   0.19 kcal/mol of atoms
DOS at the Fermi energy   2.11 states/eV/f.u.
Calculated formation energy   -0.264 eV per atom

```
data_LiCaMgRh
_cell_length_a 4.775
_cell_length_b 4.774
_cell_length_c 7.384
_cell_angle_alpha 90.00
_cell_angle_beta 90.04
_cell_angle_gamma 90.00
_symmetry_space_group_name_H-M 'C 1 m 1'
_symmetry_Int_Tables_number 8
loop_
_symmetry_equiv_pos_as_xyz
'x,y,z'
'x,-y,z'
'x+1/2,y+1/2,z'
'x+1/2,-y+1/2,z'
loop_
_atom_site_label
_atom_site_type_symbol
_atom_site_fract_x
_atom_site_fract_y
_atom_site_fract_z
Li1 Li 0.000 0.000 0.000
Ca1 Ca 0.000 0.500 0.648
Mg1 Mg 0.498 0.000 0.230
Rh1 Rh 0.499 0.500 0.403
```

---

LiCa2MgS: optimized geometry, GGA-PBE.

Output
DOS at the Fermi energy   3.06 states/eV/f.u.
E_form (uncorrected)   -0.723 eV/atom

```
data_LiCa2MgS
_cell_length_a 5.501
_cell_length_b 5.501
_cell_length_c 4.709
_cell_angle_alpha 90.00
_cell_angle_beta 90.00
_cell_angle_gamma 90.00
_symmetry_space_group_name_H-M 'P 4/m m m'
_symmetry_Int_Tables_number 123
_symmetry_space_group_name_Hall '-P 4 2'
loop_
_atom_site_label
_atom_site_type_symbol
_atom_site_fract_x
_atom_site_fract_y
_atom_site_fract_z
Li1 Li 0.000 0.000 0.000
Ca1 Ca 0.000 0.500 0.500
Mg1 Mg 0.500 0.500 0.000
S1 S 0.000 0.000 0.500
```

---

LiCa10MgSb9: optimized geometry, GGA-PBE.

Output
E_form (uncorrected)   -0.973 eV/atom

```
data_LiCa10MgSb9
_cell_length_a 11.953
_cell_length_b 11.953
_cell_length_c 17.191
_cell_angle_alpha 90.00
_cell_angle_beta 90.00
_cell_angle_gamma 90.00
_symmetry_space_group_name_H-M 'P 42/m n m'
_symmetry_Int_Tables_number 136
_symmetry_space_group_name_Hall '-P 4n 2n'
loop_
_atom_site_label
_atom_site_type_symbol
_atom_site_fract_x
_atom_site_fract_y
_atom_site_fract_z
Li1 Li 0.223 0.223 0.000
Ca1 Ca 0.000 0.000 0.143
Ca2 Ca 0.012 0.748 0.310
Ca3 Ca 0.015 0.662 0.103
Ca4 Ca 0.182 0.182 0.500
Mg1 Mg 0.102 0.898 0.500
Sb1 Sb 0.000 0.000 0.365
Sb2 Sb 0.000 0.500 0.250
Sb3 Sb 0.031 0.666 0.500
Sb4 Sb 0.129 0.871 0.000
Sb5 Sb 0.186 0.186 0.171
Sb6 Sb 0.223 0.777 0.181
```

---

LiCaMg2Sc: optimized geometry, GGA-PBE.

Output
Energy above the lowest structure with this stoichiometry   10.56 kcal/mol of atoms
DOS at the Fermi energy   5.75 states/eV/f.u.
Calculated formation energy   0.798 eV per atom

```
data_LiCaMg2Sc
_cell_length_a 5.649
_cell_length_b 5.649
_cell_length_c 5.976
_cell_angle_alpha 90.00
_cell_angle_beta 90.00
_cell_angle_gamma 90.00
_symmetry_space_group_name_H-M 'P 4/m m m'
_symmetry_Int_Tables_number 123
_symmetry_space_group_name_Hall '-P 4 2'
loop_
_atom_site_label
_atom_site_type_symbol
_atom_site_fract_x
_atom_site_fract_y
_atom_site_fract_z
Li1 Li 0.000 0.000 0.000
Ca1 Ca 0.500 0.500 0.000
Mg1 Mg 0.000 0.500 0.500
Sc1 Sc 0.500 0.500 0.500
```

---

LiCaMg2Sc: optimized geometry, GGA-PBE.

Output
Energy above the lowest structure with this stoichiometry   0.00 kcal/mol of atoms
DOS at the Fermi energy   5.84 states/eV/f.u.
Calculated formation energy   0.340 eV per atom

```
data_LiCaMg2Sc
_cell_length_a 5.024
_cell_length_b 5.024
_cell_length_c 5.207
_cell_angle_alpha 90.00
_cell_angle_beta 90.00
_cell_angle_gamma 90.00
_symmetry_space_group_name_H-M 'P 4/m m m'
_symmetry_Int_Tables_number 123
_symmetry_space_group_name_Hall '-P 4 2'
loop_
_atom_site_label
_atom_site_type_symbol
_atom_site_fract_x
_atom_site_fract_y
_atom_site_fract_z
Li1 Li 0.000 0.000 0.000
Ca1 Ca 0.000 0.000 0.500
Mg1 Mg 0.000 0.500 0.000
Sc1 Sc 0.500 0.500 0.500
```

---

LiCa2MgSe: optimized geometry, GGA-PBE.

Output
DOS at the Fermi energy   3.11 states/eV/f.u.
E_form (uncorrected)   -0.632 eV/atom

```
data_LiCa2MgSe
_cell_length_a 5.672
_cell_length_b 5.672
_cell_length_c 4.830
_cell_angle_alpha 90.00
_cell_angle_beta 90.00
_cell_angle_gamma 90.00
_symmetry_space_group_name_H-M 'P 4/m m m'
_symmetry_Int_Tables_number 123
_symmetry_space_group_name_Hall '-P 4 2'
loop_
_atom_site_label
_atom_site_type_symbol
_atom_site_fract_x
_atom_site_fract_y
_atom_site_fract_z
Li1 Li 0.000 0.000 0.000
Ca1 Ca 0.000 0.500 0.500
Mg1 Mg 0.500 0.500 0.000
Se1 Se 0.000 0.000 0.500
```

---

LiCaSmMg: optimized geometry, GGA-PBE.

Output
DOS at the Fermi energy   3.69 states/eV/f.u.
Calculated formation energy   0.016 eV per atom

```
data_LiCaSmMg
_cell_length_a 7.768
_cell_length_b 7.768
_cell_length_c 7.768
_cell_angle_alpha 90.00
_cell_angle_beta 90.00
_cell_angle_gamma 90.00
_symmetry_space_group_name_H-M 'F -4 3 m'
_symmetry_Int_Tables_number 216
_symmetry_space_group_name_Hall 'F -4 2 3'
loop_
_atom_site_label
_atom_site_type_symbol
_atom_site_fract_x
_atom_site_fract_y
_atom_site_fract_z
Li1 Li 0.000 0.000 0.000
Ca1 Ca 0.250 0.250 0.750
Sm1 Sm 0.250 0.250 0.250
Mg1 Mg 0.000 0.000 0.500
```

---

Li2Ca2SmMg5: optimized geometry, GGA-PBE.

Output
DOS at the Fermi energy   8.49 states/eV/f.u.
Calculated formation energy   -0.052 eV per atom

```
data_Li2Ca2SmMg5
_cell_length_a 10.910
_cell_length_b 10.910
_cell_length_c 4.495
_cell_angle_alpha 90.00
_cell_angle_beta 90.00
_cell_angle_gamma 90.00
_symmetry_space_group_name_H-M 'P 4/m b m'
_symmetry_Int_Tables_number 127
_symmetry_space_group_name_Hall '-P 4 2ab'
loop_
_atom_site_label
_atom_site_type_symbol
_atom_site_fract_x
_atom_site_fract_y
_atom_site_fract_z
Li1 Li 0.116 0.384 0.000
Ca1 Ca 0.180 0.680 0.000
Sm1 Sm 0.000 0.000 0.000
Mg1 Mg 0.000 0.500 0.500
Mg2 Mg 0.063 0.213 0.500
```

---

SrLiCaMg2: optimized geometry, GGA-PBE.

Output
DOS at the Fermi energy   4.66 states/eV/f.u.
Calculated formation energy   0.107 eV per atom

```
data_SrLiCaMg2
_cell_length_a 5.413
_cell_length_b 5.413
_cell_length_c 5.423
_cell_angle_alpha 90.00
_cell_angle_beta 90.00
_cell_angle_gamma 90.00
_symmetry_space_group_name_H-M 'P 4/m m m'
_symmetry_Int_Tables_number 123
_symmetry_space_group_name_Hall '-P 4 2'
loop_
_atom_site_label
_atom_site_type_symbol
_atom_site_fract_x
_atom_site_fract_y
_atom_site_fract_z
Sr1 Sr 0.000 0.000 0.000
Li1 Li 0.500 0.500 0.500
Ca1 Ca 0.500 0.500 0.000
Mg1 Mg 0.000 0.500 0.500
```

---

LiCaTbMg: optimized geometry, GGA-PBE.

Output
DOS at the Fermi energy   4.37 states/eV/f.u.
Calculated formation energy   0.039 eV per atom

```
data_LiCaTbMg
_cell_length_a 7.712
_cell_length_b 7.712
_cell_length_c 7.712
_cell_angle_alpha 90.00
_cell_angle_beta 90.00
_cell_angle_gamma 90.00
_symmetry_space_group_name_H-M 'F -4 3 m'
_symmetry_Int_Tables_number 216
_symmetry_space_group_name_Hall 'F -4 2 3'
loop_
_atom_site_label
_atom_site_type_symbol
_atom_site_fract_x
_atom_site_fract_y
_atom_site_fract_z
Li1 Li 0.000 0.000 0.000
Ca1 Ca 0.250 0.250 0.750
Tb1 Tb 0.250 0.250 0.250
Mg1 Mg 0.000 0.000 0.500
```